Record 1
# PBE BaHfSi3, relaxed
# Energy relative to the elements, uncorrected = -0.023 eV/atom
# Space group = Pm-3m (221)
# Distance to the lowest polymorph of the same formula = 0.000 eV per atom
# Calculated total energy = -0.2077 hartree per atom
data_BaHfSi3
_cell_length_a 5.1263
_cell_length_b 5.1263
_cell_length_c 5.1263
_cell_angle_alpha 90.00
_cell_angle_beta 90.00
_cell_angle_gamma 90.00
_symmetry_space_group_name_H-M 'P 1'
_symmetry_Int_Tables_number 1
_symmetry_space_group_name_Hall 'P 1'
loop_
_atom_site_label
_atom_site_type_symbol
_atom_site_fract_x
_atom_site_fract_y
_atom_site_fract_z
Ba1 Ba 0.5000 0.5000 0.5000
Si1 Si 0.0000 0.0000 0.5000
Hf1 Hf 0.0000 0.0000 0.0000
Si2 Si 0.0000 0.5000 0.0000
Si3 Si 0.5000 0.0000 0.0000



Record 2
# PBE ZrRh2Cl, relaxed
# Energy relative to the elements, uncorrected = -0.313 eV/atom
# Space group = Immm (71)
# Distance to the lowest polymorph of the same formula = 0.130 eV per atom
# Calculated total energy = -0.2421 hartree per atom
data_ZrRh2Cl
_cell_length_a 5.3520
_cell_length_b 5.3520
_cell_length_c 5.3520
_cell_angle_alpha 146.77
_cell_angle_beta 128.97
_cell_angle_gamma 62.27
_symmetry_space_group_name_H-M 'P 1'
_symmetry_Int_Tables_number 1
_symmetry_space_group_name_Hall 'P 1'
loop_
_atom_site_label
_atom_site_type_symbol
_atom_site_fract_x
_atom_site_fract_y
_atom_site_fract_z
Zr1 Zr 0.7500 0.2500 0.5000
Rh1 Rh 0.0082 0.0082 0.0000
Cl1 Cl 0.2500 0.7500 0.5000
Rh2 Rh 0.4918 0.4918 0.0000



Record 3
# PBE Hf2NiW, relaxed
# ΔE_f = -0.1897 eV/atom
# Space group = P4/mmm (123)
# Calculated total energy = -0.3620 hartree per atom
data_Hf2NiW
_cell_length_a 3.2835
_cell_length_b 3.2835
_cell_length_c 6.4519
_cell_angle_alpha 90.00
_cell_angle_beta 90.00
_cell_angle_gamma 90.00
_symmetry_space_group_name_H-M 'P 1'
_symmetry_Int_Tables_number 1
_symmetry_space_group_name_Hall 'P 1'
loop_
_atom_site_label
_atom_site_type_symbol
_atom_site_fract_x
_atom_site_fract_y
_atom_site_fract_z
Hf1 Hf 0.0000 0.0000 0.2459
Ni1 Ni 0.5000 0.5000 0.0000
W1 W 0.5000 0.5000 0.5000
Hf2 Hf 0.0000 0.0000 0.7541



Record 4
# PBE AlAgOs2, relaxed
# ΔE_f = 0.3804 eV/atom
# Space group = P4/mmm (123)
# Calculated total energy = -0.2529 hartree per atom
data_AlAgOs2
_cell_length_a 2.9911
_cell_length_b 2.9911
_cell_length_c 6.6798
_cell_angle_alpha 90.00
_cell_angle_beta 90.00
_cell_angle_gamma 90.00
_symmetry_space_group_name_H-M 'P 1'
_symmetry_Int_Tables_number 1
_symmetry_space_group_name_Hall 'P 1'
loop_
_atom_site_label
_atom_site_type_symbol
_atom_site_fract_x
_atom_site_fract_y
_atom_site_fract_z
Os1 Os 0.0000 0.0000 0.9632
Ag1 Ag 0.5000 0.5000 0.2500
Al1 Al 0.5000 0.5000 0.7500
Os2 Os 0.0000 0.0000 0.5368



Record 5
# PBE LiTcN, relaxed
# Energy relative to the elements, uncorrected = -0.026 eV/atom
# Space group = P3m1 (156)
# Distance to the lowest polymorph of the same formula = 0.263 eV per atom
# Calculated total energy = -0.2534 hartree per atom
data_LiTcN
_cell_length_a 4.3599
_cell_length_b 3.3103
_cell_length_c 3.3103
_cell_angle_alpha 120.00
_cell_angle_beta 90.00
_cell_angle_gamma 90.00
_symmetry_space_group_name_H-M 'P 1'
_symmetry_Int_Tables_number 1
_symmetry_space_group_name_Hall 'P 1'
loop_
_atom_site_label
_atom_site_type_symbol
_atom_site_fract_x
_atom_site_fract_y
_atom_site_fract_z
N1 N 0.1643 0.0000 0.0000
Li1 Li 0.6687 0.6667 0.3333
Tc1 Tc 0.1669 0.3333 0.6667



Record 6
# PBE YHoTm2, relaxed
# ΔE_f = 0.2183 eV/atom
# Space group = P2/c (13)
# Distance to the lowest polymorph of the same formula = 0.215 eV per atom
# Calculated total energy = -0.1756 hartree per atom
data_YHoTm2
_cell_length_a 6.8819
_cell_length_b 6.9043
_cell_length_c 12.8751
_cell_angle_alpha 122.44
_cell_angle_beta 90.00
_cell_angle_gamma 90.00
_symmetry_space_group_name_H-M 'P 1'
_symmetry_Int_Tables_number 1
_symmetry_space_group_name_Hall 'P 1'
loop_
_atom_site_label
_atom_site_type_symbol
_atom_site_fract_x
_atom_site_fract_y
_atom_site_fract_z
Tm1 Tm 0.6255 0.4869 0.6108
Tm2 Tm 0.8757 0.0131 0.3885
Ho1 Ho 0.8751 0.5120 0.3869
Ho2 Ho 0.1249 0.0120 0.8869
Tm3 Tm 0.3745 0.9869 0.1108
Tm4 Tm 0.8757 0.4869 0.1115
Tm5 Tm 0.1243 0.5131 0.8885
Y1 Y 0.6250 0.5128 0.8863
Ho3 Ho 0.8751 0.9880 0.1131
Tm6 Tm 0.3745 0.5131 0.3892
Y2 Y 0.6250 0.9872 0.6137
Y3 Y 0.3750 0.4872 0.1137
Y4 Y 0.3750 0.0128 0.3863
Ho4 Ho 0.1249 0.4880 0.6131
Tm7 Tm 0.1243 0.9869 0.6115
Tm8 Tm 0.6255 0.0131 0.8892



Record 7
# PBE VInH3, relaxed
# Space group = Pm-3m (221)
# Distance to the lowest polymorph of the same formula = 0.000 eV per atom
# Calculated total energy = -0.1543 hartree per atom
data_VInH3
_cell_length_a 3.5879
_cell_length_b 3.5879
_cell_length_c 3.5879
_cell_angle_alpha 90.00
_cell_angle_beta 90.00
_cell_angle_gamma 90.00
_symmetry_space_group_name_H-M 'P 1'
_symmetry_Int_Tables_number 1
_symmetry_space_group_name_Hall 'P 1'
loop_
_atom_site_label
_atom_site_type_symbol
_atom_site_fract_x
_atom_site_fract_y
_atom_site_fract_z
V1 V 0.0000 0.0000 0.0000
H1 H 0.5000 0.0000 0.0000
H2 H 0.0000 0.5000 0.0000
H3 H 0.0000 0.0000 0.5000
In1 In 0.5000 0.5000 0.5000



Record 8
# PBE FeRe2Ag, relaxed
# ΔE_f = 0.4204 eV/atom
# Space group = P4/mmm (123)
# Distance to the lowest polymorph of the same formula = 0.135 eV per atom
# Calculated total energy = -0.3172 hartree per atom
data_FeRe2Ag
_cell_length_a 2.6631
_cell_length_b 2.6631
_cell_length_c 8.1132
_cell_angle_alpha 90.00
_cell_angle_beta 90.00
_cell_angle_gamma 90.00
_symmetry_space_group_name_H-M 'P 1'
_symmetry_Int_Tables_number 1
_symmetry_space_group_name_Hall 'P 1'
loop_
_atom_site_label
_atom_site_type_symbol
_atom_site_fract_x
_atom_site_fract_y
_atom_site_fract_z
Fe1 Fe 0.5000 0.5000 0.7500
Re1 Re 0.0000 0.0000 0.5300
Re2 Re 0.0000 0.0000 0.9700
Ag1 Ag 0.5000 0.5000 0.2500